(1)
Compound: LiOs2Rh
Source: the Alexandria database
Functional: PBE
Structure: relaxed

Lattice parameters (Å, degrees): 3.657 3.657 8.142 90.00 90.00 90.00
Space group I4/mmm (No. 139)
Unique sites:
Li 0.000 0.000 0.000 [2 per cell]
Os 0.000 0.500 0.250 [4 per cell]
Rh 0.000 0.000 0.500 [2 per cell]

Calculated formation energy in kJ per mole of atoms: 21.11
ΔE to the lowest computed polymorph in meV per atom: 103.8


(2)
Compound: LiOs2Rh
Source: the Alexandria database
Functional: PBE
Structure: relaxed

Lattice parameters (Å, degrees): 3.881 3.881 7.225 90.00 90.00 90.00
Space group I-4m2 (No. 119)
Unique sites:
Li 0.000 0.000 0.000 [2 per cell]
Os 0.000 0.000 0.500 [2 per cell]
Os 0.000 0.500 0.750 [2 per cell]
Rh 0.000 0.500 0.250 [2 per cell]

Calculated formation energy in kJ per mole of atoms: 21.52
ΔE to the lowest computed polymorph in meV per atom: 108.0


(3)
Compound: Li2OsRh
Source: the Alexandria database
Functional: PBE
Structure: relaxed

Lattice parameters (Å, degrees): 2.6481 2.6481 26.8796 90.00 90.00 120.00
Space group R-3m (No. 166, hexagonal axes)
Unique sites:
Li 0.0000 0.0000 0.2478 [6 per cell]
Os 0.0000 0.0000 0.0000 [3 per cell]
Rh 0.0000 0.0000 0.5000 [3 per cell]

Calculated formation energy in kJ per mole of atoms: -3.03
ΔE to the lowest computed polymorph in meV per atom: 0.0


(4)
Compound: LiOs2Rh
Source: the Alexandria database
Functional: PBE
Structure: relaxed

Lattice parameters (Å, degrees): 2.642 2.642 8.124 90.00 90.00 90.00
Space group P4/mmm (No. 123)
Unique sites:
Li 0.000 0.000 0.000 [1 per cell]
Os 0.500 0.500 0.257 [2 per cell]
Rh 0.000 0.000 0.500 [1 per cell]

Calculated formation energy in kJ per mole of atoms: 35.89
ΔE to the lowest computed polymorph in meV per atom: 257.0


(5)
Compound: Li2OsRh
Source: the Alexandria database
Functional: PBE
Structure: relaxed

Lattice parameters (Å, degrees): 8.822 2.648 4.824 90.00 96.79 90.00
Space group Cm (No. 8)
Unique sites:
Li 0.000 0.000 0.000 [2 per cell]
Li 0.240 0.000 0.813 [2 per cell]
Os 0.489 0.000 0.487 [2 per cell]
Rh 0.244 0.500 0.329 [2 per cell]

Calculated formation energy in kJ per mole of atoms: 3.90
ΔE to the lowest computed polymorph in meV per atom: 71.8


(6)
Compound: LiOs2Rh
Source: the Alexandria database
Functional: PBE
Structure: relaxed

Lattice parameters (Å, degrees): 2.7294 2.7294 26.6486 90.00 90.00 120.00
Space group R3m (No. 160, hexagonal axes)
Unique sites:
Li 0.0000 0.0000 0.0000 [3 per cell]
Os 0.0000 0.0000 0.5014 [3 per cell]
Os 0.0000 0.0000 0.7555 [3 per cell]
Rh 0.0000 0.0000 0.2514 [3 per cell]

Calculated formation energy in kJ per mole of atoms: 13.60
ΔE to the lowest computed polymorph in meV per atom: 25.9


(7)
Compound: LiOsRu2Rh
Source: the Alexandria database
Functional: PBE
Structure: relaxed

Lattice parameters (Å, degrees): 4.067 4.067 4.008 90.00 90.00 90.00
Space group P4/mmm (No. 123)
Unique sites:
Li 0.000 0.000 0.000 [1 per cell]
Os 0.500 0.500 0.500 [1 per cell]
Ru 0.000 0.500 0.000 [2 per cell]
Rh 0.000 0.000 0.500 [1 per cell]

Calculated formation energy in kJ per mole of atoms: 94.64


(8)
Compound: LiTc2OsRh
Source: the Alexandria database
Functional: PBE
Structure: relaxed

Lattice parameters (Å, degrees): 4.074 4.074 4.101 90.00 90.00 90.00
Space group P4/mmm (No. 123)
Unique sites:
Li 0.000 0.000 0.000 [1 per cell]
Tc 0.000 0.500 0.000 [2 per cell]
Os 0.000 0.000 0.500 [1 per cell]
Rh 0.500 0.500 0.500 [1 per cell]

Calculated formation energy in kJ per mole of atoms: 104.58


Question: Which of these has the highest calculated formation energy?
Answer: LiTc2OsRh